1.
# SiMoP2

Crystalline SiMoP2 at its relaxed geometry (PBE, the Alexandria database).

Unit cell a=4.284 b=4.284 c=4.284 alpha=60.00 beta=60.00 gamma=60.00
Positions (direct):
1 P 0.250 0.250 0.250
2 P 0.750 0.750 0.750
3 Mo 0.500 0.500 0.500
4 Si 0.000 0.000 0.000

Output
- formation energy without anion corrections (eV per atom) = 0.248
- calculated volume (Å³ per cell) = 55.6
- final energy (Ha/atom) = -0.2396

=====

2.
# SiMoP2

Crystalline SiMoP2 at its relaxed geometry (PBE, the Alexandria database).

Unit cell a=4.309 b=4.309 c=4.309 alpha=60.00 beta=60.00 gamma=60.00
Positions (direct):
1 Mo 0.500 0.500 0.500
2 P 0.000 0.000 0.000
3 P 0.250 0.250 0.250
4 Si 0.750 0.750 0.750

Output
- formation energy without anion corrections (eV per atom) = 0.455
- calculated volume (Å³ per cell) = 56.6
- final energy (Ha/atom) = -0.2320

=====

3.
# SiMo3P

Crystalline SiMo3P at its relaxed geometry (PBE, the Alexandria database).

Unit cell a=4.417 b=4.417 c=4.417 alpha=90.00 beta=90.00 gamma=90.00
Positions (direct):
1 P 0.000 0.000 0.000
2 Mo 0.000 0.500 0.000
3 Mo 0.000 0.000 0.500
4 Mo 0.500 0.000 0.000
5 Si 0.500 0.500 0.500

Output
- formation energy without anion corrections (eV per atom) = 0.630
- calculated volume (Å³ per cell) = 86.2
- final energy (Ha/atom) = -0.2953

=====

4.
# SiMo5P2

Crystalline SiMo5P2 at its relaxed geometry (PBE, the Alexandria database).

Unit cell a=3.156 b=6.393 c=6.882 alpha=117.68 beta=103.25 gamma=90.00
Positions (direct):
1 Si 0.000 0.000 0.000
2 Mo 0.000 0.500 0.000
3 Mo 0.633 0.375 0.267
4 Mo 0.367 0.625 0.733
5 Mo 0.633 0.891 0.267
6 Mo 0.367 0.109 0.733
7 P 0.213 0.713 0.425
8 P 0.787 0.287 0.575

Output
- formation energy without anion corrections (eV per atom) = -0.397
- calculated volume (Å³ per cell) = 118.8
- final energy (Ha/atom) = -0.3380

=====

5.
# SiMoP2

Crystalline SiMoP2 at its relaxed geometry (PBE, the Alexandria database).

Unit cell a=4.737 b=4.737 c=4.737 alpha=141.02 beta=123.69 gamma=70.61
Positions (direct):
1 Mo 0.244 0.744 0.500
2 P 0.977 0.977 0.000
3 P 0.751 0.251 0.500
4 Si 0.528 0.528 0.000

Output
- formation energy without anion corrections (eV per atom) = 0.093
- calculated volume (Å³ per cell) = 54.6
- final energy (Ha/atom) = -0.2453

=====

6.
# SiMoP2

Crystalline SiMoP2 at its relaxed geometry (PBE, the Alexandria database).

Unit cell a=4.652 b=4.652 c=4.221 alpha=91.13 beta=91.13 gamma=40.94
Positions (direct):
1 Mo 0.299 0.299 0.174
2 P 0.012 0.012 0.071
3 P 0.725 0.725 0.596
4 Si 0.464 0.464 0.658

Output
- formation energy without anion corrections (eV per atom) = -0.127
- calculated volume (Å³ per cell) = 59.8
- final energy (Ha/atom) = -0.2534

=====

7.
# SiMoP3

Crystalline SiMoP3 at its relaxed geometry (PBE, the Alexandria database).

Unit cell a=4.444 b=4.444 c=4.444 alpha=90.00 beta=90.00 gamma=90.00
Positions (direct):
1 P 0.000 0.500 0.000
2 P 0.000 0.000 0.500
3 P 0.500 0.000 0.000
4 Mo 0.500 0.500 0.500
5 Si 0.000 0.000 0.000

Output
- formation energy without anion corrections (eV per atom) = 1.000
- calculated volume (Å³ per cell) = 87.7
- final energy (Ha/atom) = -0.2020

=====

8.
# SiMoP2

Crystalline SiMoP2 at its relaxed geometry (PBE, the Alexandria database).

Unit cell a=4.283 b=4.283 c=3.113 alpha=90.00 beta=90.00 gamma=104.51
Positions (direct):
1 Mo 0.000 0.500 0.500
2 P 0.000 0.000 0.000
3 P 0.500 0.500 0.000
4 Si 0.500 0.000 0.500

Output
- formation energy without anion corrections (eV per atom) = 0.209
- calculated volume (Å³ per cell) = 55.3
- final energy (Ha/atom) = -0.2411